VASP calculation (PBE) on a relaxed structure of CeFe5Si2.

Formation energy from raw total energies ... -0.296 eV per atom
SG ... Immm (71)
E ... -7.68 eV per atom

Cell lengths 3.3508, 6.1429, 6.1429 Å; angles 69.11, 74.17, 74.17 degrees
Last column: magnetic moment on the atom in μB.
Sites, in units of the cell vectors:
Ce 0.0000 0.0000 0.0000  -0.62
Fe 0.0000 0.5000 0.5000  2.26
Fe 0.6488 0.5417 0.1607  1.87
Fe 0.3512 0.4583 0.8393  1.87
Fe 0.3512 0.8393 0.4583  1.87
Fe 0.6488 0.1607 0.5417  1.87
Si 0.7511 0.7489 0.7489  -0.09
Si 0.2489 0.2511 0.2511  -0.09